This record from Alexandria describes a relaxed Na2Pd3Pb3 crystal. The functional is PBE.

Geometry as CIF:
```
data_Na2Pd3Pb3
_chemical_formula_sum 'Na2 Pd3 Pb3'
_cell_length_a 8.1830
_cell_length_b 8.1830
_cell_length_c 3.1790
_cell_angle_alpha 90.00
_cell_angle_beta 90.00
_cell_angle_gamma 120.00
_space_group_name_H-M_alt 'P -6 2 m'
_space_group_IT_number 189
_space_group_name_Hall 'P -6 -2'
loop_
_atom_site_label
_atom_site_type_symbol
_atom_site_fract_x
_atom_site_fract_y
_atom_site_fract_z
Na1 Na 0.3333 0.6667 0.0000
Pd1 Pd 0.0000 0.3133 0.5000
Pb1 Pb 0.0000 0.7320 0.0000
```

## Properties
Total energy: -0.27531 Ry per atom
D(E_F): 3.352 states/eV per cell
Crystal system: hexagonal
Calculated volume: 184.4 Å³/cell

---

This record from Alexandria describes a relaxed HfAl2Rh2 crystal. The functional is PBE.

Geometry as CIF:
```
data_HfAl2Rh2
_chemical_formula_sum 'Hf2 Al4 Rh4'
_cell_length_a 7.3345
_cell_length_b 7.3345
_cell_length_c 2.9302
_cell_angle_alpha 90.00
_cell_angle_beta 90.00
_cell_angle_gamma 90.00
_space_group_name_H-M_alt 'P 4/m b m'
_space_group_IT_number 127
_space_group_name_Hall '-P 4 2ab'
loop_
_atom_site_label
_atom_site_type_symbol
_atom_site_fract_x
_atom_site_fract_y
_atom_site_fract_z
Hf1 Hf 0.0000 0.0000 0.0000
Al1 Al 0.1459 0.3541 0.5000
Rh1 Rh 0.1490 0.6490 0.0000
```

## Properties
D(E_F): 7.376 states/eV per cell
Crystal system: tetragonal
Calculated volume: 157.6 Å³/cell
Energy above the lowest structure with this stoichiometry: 0.04 eV per formula unit

---

This record from Alexandria describes a relaxed AlCd5 crystal. The functional is PBE.

Geometry as CIF:
```
data_AlCd5
_chemical_formula_sum 'Al2 Cd10'
_cell_length_a 11.2562
_cell_length_b 2.9585
_cell_length_c 8.5690
_cell_angle_alpha 90.00
_cell_angle_beta 112.20
_cell_angle_gamma 90.00
_space_group_name_H-M_alt 'C 1 2/m 1'
_space_group_IT_number 12
loop_
_space_group_symop_operation_xyz
'x,y,z'
'-x,-y,-z'
'-x,y,-z'
'x,-y,z'
'x+1/2,y+1/2,z'
'-x+1/2,-y+1/2,-z'
'-x+1/2,y+1/2,-z'
'x+1/2,-y+1/2,z'
loop_
_atom_site_label
_atom_site_type_symbol
_atom_site_fract_x
_atom_site_fract_y
_atom_site_fract_z
Al1 Al 0.0000 0.0000 0.0000
Cd1 Cd 0.0000 0.0000 0.5000
Cd2 Cd 0.1594 0.5000 0.8407
Cd3 Cd 0.1657 0.5000 0.3210
```

## Properties
D(E_F): 2.564 states/eV per cell
Crystal system: monoclinic
Calculated volume: 264.2 Å³/cell
Energy above the lowest structure with this stoichiometry: 0.00 eV per formula unit

---

This record from Alexandria describes a relaxed BaBeOs2 crystal. The functional is PBE.

Geometry as CIF:
```
data_BaBeOs2
_chemical_formula_sum 'Ba2 Be2 Os4'
_cell_length_a 4.1455
_cell_length_b 4.1455
_cell_length_c 8.3797
_cell_angle_alpha 90.00
_cell_angle_beta 90.00
_cell_angle_gamma 90.00
_space_group_name_H-M_alt 'I 4/m m m'
_space_group_IT_number 139
_space_group_name_Hall '-I 4 2'
loop_
_atom_site_label
_atom_site_type_symbol
_atom_site_fract_x
_atom_site_fract_y
_atom_site_fract_z
Ba1 Ba 0.0000 0.0000 0.0000
Be1 Be 0.0000 0.0000 0.5000
Os1 Os 0.0000 0.5000 0.2500
```

## Properties
Total energy: -0.40110 Ry per atom
D(E_F): 10.579 states/eV per cell
Crystal system: tetragonal
Calculated volume: 144.0 Å³/cell

---

This record from Alexandria describes a relaxed TlIn2Os crystal. The functional is PBE.

Geometry as CIF:
```
data_TlIn2Os
_chemical_formula_sum 'Tl2 In4 Os2'
_cell_length_a 3.2716
_cell_length_b 5.2246
_cell_length_c 10.6785
_cell_angle_alpha 90.00
_cell_angle_beta 90.00
_cell_angle_gamma 90.00
_space_group_name_H-M_alt 'C m m 2'
_space_group_IT_number 35
loop_
_space_group_symop_operation_xyz
'x,y,z'
'-x,-y,z'
'-x,y,z'
'x,-y,z'
'x+1/2,y+1/2,z'
'-x+1/2,-y+1/2,z'
'-x+1/2,y+1/2,z'
'x+1/2,-y+1/2,z'
loop_
_atom_site_label
_atom_site_type_symbol
_atom_site_fract_x
_atom_site_fract_y
_atom_site_fract_z
Tl1 Tl 0.0000 0.0000 0.0000
In1 In 0.0000 0.0000 0.4261
In2 In 0.0000 0.5000 0.6981
Os1 Os 0.0000 0.5000 0.2222
```

## Properties
D(E_F): 5.497 states/eV per cell
Crystal system: orthorhombic
Calculated volume: 182.5 Å³/cell
Energy above the lowest structure with this stoichiometry: 1.01 eV per formula unit

---

This record from Alexandria describes a relaxed La15CePm4 crystal. The functional is PBE.

Geometry as CIF:
```
data_La15CePm4
_chemical_formula_sum 'La15 Ce1 Pm4'
_cell_length_a 5.2315
_cell_length_b 5.2315
_cell_length_c 26.2492
_cell_angle_alpha 90.00
_cell_angle_beta 90.00
_cell_angle_gamma 90.00
_space_group_name_H-M_alt 'P 4/m m m'
_space_group_IT_number 123
_space_group_name_Hall '-P 4 2'
loop_
_atom_site_label
_atom_site_type_symbol
_atom_site_fract_x
_atom_site_fract_y
_atom_site_fract_z
La1 La 0.0000 0.0000 0.0000
La2 La 0.0000 0.0000 0.1997
La3 La 0.0000 0.0000 0.4001
La4 La 0.0000 0.5000 0.0966
La5 La 0.0000 0.5000 0.2989
La6 La 0.0000 0.5000 0.5000
Ce1 Ce 0.5000 0.5000 0.0000
Pm1 Pm 0.5000 0.5000 0.1991
Pm2 Pm 0.5000 0.5000 0.3997
```

## Properties
Total energy: -0.36159 Ry per atom
D(E_F): 39.536 states/eV per cell
Crystal system: tetragonal
Calculated volume: 718.4 Å³/cell

---

This record from Alexandria describes a relaxed La4NdTl2 crystal. The functional is PBE.

Geometry as CIF:
```
data_La4NdTl2
_chemical_formula_sum 'La8 Nd2 Tl4'
_cell_length_a 6.1302
_cell_length_b 6.1302
_cell_length_c 12.9699
_cell_angle_alpha 90.00
_cell_angle_beta 90.00
_cell_angle_gamma 90.00
_space_group_name_H-M_alt 'I 4/m m m'
_space_group_IT_number 139
_space_group_name_Hall '-I 4 2'
loop_
_atom_site_label
_atom_site_type_symbol
_atom_site_fract_x
_atom_site_fract_y
_atom_site_fract_z
La1 La 0.0000 0.5000 0.0000
La2 La 0.0000 0.5000 0.2500
Nd1 Nd 0.0000 0.0000 0.0000
Tl1 Tl 0.0000 0.0000 0.3706
```

## Properties
D(E_F): 21.102 states/eV per cell
Crystal system: tetragonal
Calculated volume: 487.4 Å³/cell
Energy above the lowest structure with this stoichiometry: 1.73 eV per formula unit

---

This record from Alexandria describes a relaxed Ce4Si2Pd crystal. The functional is PBE.

Geometry as CIF:
```
data_Ce4Si2Pd
_chemical_formula_sum 'Ce12 Si6 Pd3'
_cell_length_a 4.7624
_cell_length_b 4.7624
_cell_length_c 27.6747
_cell_angle_alpha 90.00
_cell_angle_beta 90.00
_cell_angle_gamma 120.00
_space_group_name_H-M_alt 'R -3 m'
_space_group_IT_number 166
_space_group_name_Hall '-R 3 2"'
loop_
_atom_site_label
_atom_site_type_symbol
_atom_site_fract_x
_atom_site_fract_y
_atom_site_fract_z
Ce1 Ce 0.0000 0.0000 0.1193
Ce2 Ce 0.0000 0.0000 0.3024
Si1 Si 0.0000 0.0000 0.4096
Pd1 Pd 0.0000 0.0000 0.5000
```

## Properties
D(E_F): 65.451 states/eV per cell
Crystal system: trigonal
Formation energy without anion corrections: -0.40 eV per atom
Calculated volume: 543.6 Å³/cell

---

This record from Alexandria describes a relaxed ScTaCr crystal. The functional is PBE.

Geometry as CIF:
```
data_ScTaCr
_chemical_formula_sum 'Sc2 Ta2 Cr2'
_cell_length_a 3.2260
_cell_length_b 3.2260
_cell_length_c 10.1825
_cell_angle_alpha 90.00
_cell_angle_beta 90.00
_cell_angle_gamma 90.00
_space_group_name_H-M_alt 'I 4 m m'
_space_group_IT_number 107
_space_group_name_Hall 'I 4 -2'
loop_
_atom_site_label
_atom_site_type_symbol
_atom_site_fract_x
_atom_site_fract_y
_atom_site_fract_z
Sc1 Sc 0.0000 0.0000 0.0000
Ta1 Ta 0.0000 0.0000 0.7052
Cr1 Cr 0.0000 0.0000 0.3212
```

## Properties
D(E_F): 7.566 states/eV per cell
Crystal system: tetragonal
Calculated volume: 106.0 Å³/cell
Energy above the lowest structure with this stoichiometry: 0.00 eV per formula unit

---

This record from Alexandria describes a relaxed Ba6Rh2SeI3 crystal. The functional is PBE.

Geometry as CIF:
```
data_Ba6Rh2SeI3
_chemical_formula_sum 'Ba12 Rh4 Se2 I6'
_cell_length_a 8.1337
_cell_length_b 14.0912
_cell_length_c 8.9048
_cell_angle_alpha 90.00
_cell_angle_beta 107.79
_cell_angle_gamma 90.00
_space_group_name_H-M_alt 'C 1 2/m 1'
_space_group_IT_number 12
loop_
_space_group_symop_operation_xyz
'x,y,z'
'-x,-y,-z'
'-x,y,-z'
'x,-y,z'
'x+1/2,y+1/2,z'
'-x+1/2,-y+1/2,-z'
'-x+1/2,y+1/2,-z'
'x+1/2,-y+1/2,z'
loop_
_atom_site_label
_atom_site_type_symbol
_atom_site_fract_x
_atom_site_fract_y
_atom_site_fract_z
Ba1 Ba 0.2183 0.0000 0.1982
Ba2 Ba 0.2409 0.3259 0.1993
Rh1 Rh 0.0000 0.1668 0.0000
Se1 Se 0.0000 0.5000 0.0000
I1 I 0.0000 0.0000 0.5000
I2 I 0.0000 0.3372 0.5000
```

## Properties
D(E_F): 11.293 states/eV per cell
Crystal system: monoclinic
Formation energy without anion corrections: -1.13 eV per atom
Calculated volume: 971.8 Å³/cell

---

This record from Alexandria describes a relaxed Pu2UTe5 crystal. The functional is PBE.

Geometry as CIF:
```
data_Pu2UTe5
_chemical_formula_sum 'Pu4 U2 Te10'
_cell_length_a 8.5832
_cell_length_b 13.1779
_cell_length_c 4.4183
_cell_angle_alpha 90.00
_cell_angle_beta 90.00
_cell_angle_gamma 90.00
_space_group_name_H-M_alt 'P b a m'
_space_group_IT_number 55
loop_
_space_group_symop_operation_xyz
'x,y,z'
'-x,-y,-z'
'-x,-y,z'
'x,y,-z'
'x+1/2,-y+1/2,-z'
'-x+1/2,y+1/2,z'
'-x+1/2,y+1/2,-z'
'x+1/2,-y+1/2,z'
loop_
_atom_site_label
_atom_site_type_symbol
_atom_site_fract_x
_atom_site_fract_y
_atom_site_fract_z
Pu1 Pu 0.0445 0.1756 0.0000
U1 U 0.0000 0.5000 0.5000
Te1 Te 0.0000 0.0000 0.5000
Te2 Te 0.1685 0.7022 0.5000
Te3 Te 0.1851 0.4050 0.0000
```

## Properties
D(E_F): 54.499 states/eV per cell
Crystal system: orthorhombic
Formation energy without anion corrections: -0.81 eV per atom
Calculated volume: 499.8 Å³/cell

---

This record from Alexandria describes a relaxed Be2SeCl crystal. The functional is PBE.

Geometry as CIF:
```
data_Be2SeCl
_chemical_formula_sum 'Be8 Se4 Cl4'
_cell_length_a 6.1692
_cell_length_b 6.1692
_cell_length_c 6.1692
_cell_angle_alpha 90.00
_cell_angle_beta 90.00
_cell_angle_gamma 90.00
_space_group_name_H-M_alt 'F m -3 m'
_space_group_IT_number 225
_space_group_name_Hall '-F 4 2 3'
loop_
_atom_site_label
_atom_site_type_symbol
_atom_site_fract_x
_atom_site_fract_y
_atom_site_fract_z
Be1 Be 0.2500 0.2500 0.2500
Se1 Se 0.0000 0.0000 0.0000
Cl1 Cl 0.0000 0.0000 0.5000
```

## Properties
D(E_F): 4.040 states/eV per cell
Crystal system: cubic
Formation energy without anion corrections: 0.41 eV per atom
Calculated volume: 234.8 Å³/cell
Energy above the lowest structure with this stoichiometry: 3.28 eV per formula unit